Pr2Sm9Y (PBE, relaxed); energy of formation from the pure elements = 0.2 eV per formula unit; calculated density = 7010 kg/m³; space-group type = P4/mmm
1.0
-5.1272 0.4119 -0.1226
-0.3847 -3.7438 3.5083
0.5746 10.5091 11.2775
Pr Sm Y
2 9 1
Cartesian
0.1909 3.4914 3.7467 Pr
0.3837 7.0177 7.5308 Pr
-2.7559 -1.6660 1.6929 Sm
-2.5650 1.8268 5.4410 Sm
-2.3723 5.3504 9.2222 Sm
-2.4688 1.9404 1.8000 Sm
-2.2763 5.4605 5.5774 Sm
-2.0839 8.9805 9.3549 Sm
-0.0975 -0.1374 3.6155 Sm
0.0949 3.3826 7.3929 Sm
0.2874 6.9027 11.1704 Sm
0.0000 0.0000 0.0000 Y

---

NaZrNO2 (PBE, relaxed); energy = -35.0 eV per cell; calculated density = 3447 kg/m³; space-group type = P4/mmm
1.0
-2.5973 -2.5573 2.0519
1.5574 -3.2658 -2.0989
3.0426 -0.5688 3.1426
Na O Zr N
1 2 1 1
Cartesian
1.0013 -3.1959 1.5478 Na
0.7787 -1.6329 -1.0495 O
-1.2987 -1.2787 1.0259 O
0.0000 0.0000 0.0000 Zr
1.5213 -0.2844 1.5713 N

---

K3RbNa4 (PBE, relaxed); energy of formation from the pure elements = 0.2 eV per formula unit; calculated density = 1106 kg/m³; energy relative to the lowest polymorph listed for this composition = 0.000 eV/atom; space-group type = Pmma
1.0
-0.5775 -6.1790 -2.8980
8.1634 -2.6560 4.0365
-6.8430 -4.4712 10.8971
Na K Rb
8 6 2
Cartesian
5.9379 -5.1154 1.6298 Na
2.5164 -7.3510 7.0784 Na
1.6481 -3.7197 -0.4913 Na
-1.7734 -5.9553 4.9573 Na
1.0621 -5.6143 11.1350 Na
3.9507 -9.0812 3.0120 Na
-0.3192 -7.6920 0.9007 Na
-3.2078 -4.2251 9.0237 Na
0.0000 0.0000 0.0000 K
-3.4215 -2.2356 5.4486 K
-5.4384 -6.6295 6.6364 K
-1.9821 -4.0208 1.3628 K
-1.3545 -7.9335 8.6659 K
2.0974 -5.3728 3.3698 K
4.0817 -1.3280 2.0183 Rb
0.6602 -3.5636 7.4668 Rb

---

Tl12Sn3Au5 (PBE, relaxed); energy of formation from the pure elements = 2.3 eV per formula unit; calculated density = 9405 kg/m³; space-group type = Ia-3d
1.0
15.1546 0.0000 0.0000
-5.0515 14.2879 0.0000
-5.0515 -7.1440 12.3737
Sn Au Tl
12 20 48
Cartesian
8.8402 4.4650 1.5467 Sn
8.8402 9.8230 1.5467 Sn
-1.2629 6.2510 7.7336 Sn
1.2629 -0.8930 4.6401 Sn
11.3660 0.0000 3.0934 Sn
1.2629 7.1440 3.0934 Sn
3.7887 0.0000 9.2803 Sn
-6.3144 7.1440 9.2803 Sn
3.7887 8.0370 7.7336 Sn
6.3144 0.8930 4.6401 Sn
-3.7887 -2.6790 10.8270 Sn
-3.7887 2.6790 10.8270 Sn
-1.2629 3.5720 3.0934 Au
-2.5258 7.1440 0.0000 Au
0.0000 0.0000 0.0000 Au
3.7887 2.6790 1.5467 Au
5.0515 -3.5720 6.1869 Au
5.0515 7.1440 0.0000 Au
-3.7887 8.0370 4.6401 Au
6.3144 -4.4650 10.8270 Au
6.3144 6.2510 4.6401 Au
1.2629 -3.5720 9.2803 Au
3.7887 10.7159 3.0934 Au
2.5258 3.5720 6.1869 Au
7.5773 0.0000 0.0000 Au
-2.5258 -3.5720 6.1869 Au
-1.2629 0.8930 7.7336 Au
-1.2629 11.6089 1.5467 Au
-5.0515 3.5720 6.1869 Au
8.8402 -0.8930 7.7336 Au
1.2629 4.4650 10.8270 Au
6.3144 3.5720 9.2803 Au
10.0127 1.5133 0.6155 Tl
0.0904 4.8616 5.1841 Tl
11.1257 3.2813 3.4538 Tl
6.5547 2.2215 1.6183 Tl
1.9108 5.5053 8.3044 Tl
10.6012 7.0793 2.1175 Tl
-1.0226 8.2037 5.0721 Tl
-4.0290 12.0664 1.6183 Tl
0.6149 8.7827 8.3044 Tl
7.0792 7.2086 2.1175 Tl
7.6677 3.7956 4.5686 Tl
7.6678 12.7747 0.6155 Tl
-4.4366 6.3725 6.8024 Tl
3.0238 5.3425 1.1148 Tl
-5.1420 10.4924 4.5686 Tl
2.6162 -2.2823 7.1896 Tl
-0.6149 0.8672 2.7330 Tl
3.0239 9.0101 1.0028 Tl
6.5548 11.0066 3.4538 Tl
-0.4981 5.2778 1.0028 Tl
-3.1407 8.0112 9.6407 Tl
3.5483 6.0842 5.0721 Tl
6.9624 7.9155 6.8024 Tl
5.5496 -1.8015 11.2589 Tl
1.5032 1.0598 7.3016 Tl
-1.9109 -0.7715 5.5713 Tl
-0.4981 8.9455 1.1148 Tl
-1.5032 -3.8627 8.9199 Tl
8.1922 -0.8672 2.7330 Tl
5.5496 1.8662 11.3710 Tl
2.0277 -1.8662 11.3710 Tl
2.4353 9.4263 5.1841 Tl
5.6665 6.2768 9.6407 Tl
10.1935 -3.3484 7.8051 Tl
9.4882 0.7715 5.5713 Tl
-2.6162 -5.6307 11.7582 Tl
2.0277 1.8015 11.2589 Tl
4.4366 -1.6387 4.0693 Tl
-2.0277 -0.0647 10.2562 Tl
-2.6162 3.3484 7.8051 Tl
9.0805 -4.9224 10.7554 Tl
6.0741 -1.0598 7.3016 Tl
-1.5032 4.9224 10.7554 Tl
-5.5496 0.0647 10.2562 Tl
3.1407 1.6387 4.0693 Tl
-6.0741 3.8627 8.9199 Tl
4.9611 2.2823 7.1896 Tl
-4.9611 5.6307 11.7582 Tl

---

K2Cd12Pt7 (PBE, relaxed); energy of formation from the pure elements = -5.0 eV per formula unit; calculated density = 10021 kg/m³; space-group type = P-6
1.0
4.5420 0.0000 0.0000
0.0000 9.3934 -5.4233
0.0000 0.0000 10.8466
K Cd Pt
2 12 7
Cartesian
2.2710 0.0000 0.0000 K
0.0000 6.2623 0.0000 K
2.2710 8.6881 1.6227 Cd
2.2710 6.4547 -2.9122 Cd
2.2710 3.6441 1.2895 Cd
2.2710 2.3119 7.1069 Cd
2.2710 4.9988 5.2909 Cd
2.2710 2.0827 3.8720 Cd
0.0000 0.4035 5.2093 Cd
0.0000 4.3097 7.8925 Cd
0.0000 4.6803 3.1681 Cd
0.0000 7.6597 3.5658 Cd
0.0000 8.6517 -2.9931 Cd
0.0000 2.4755 -0.5727 Cd
0.0000 3.1311 5.4233 Pt
0.0000 0.8361 7.9633 Pt
0.0000 6.4784 6.1409 Pt
0.0000 2.0790 2.1657 Pt
2.2710 6.1538 2.7007 Pt
2.2710 8.6554 -1.2564 Pt
2.2710 3.9777 -1.4443 Pt

---

ZrCrB4 (PBE, relaxed); energy of formation from the pure elements = -4.2 eV per formula unit; calculated density = 5681 kg/m³; space-group type = Pbam
1.0
3.3354 0.0000 0.0000
0.0000 5.8129 0.0000
0.0000 0.0000 11.2440
Zr Cr B
4 4 16
Cartesian
0.0000 3.6439 3.9347 Zr
0.0000 2.1690 7.3093 Zr
0.0000 0.7374 1.6873 Zr
0.0000 5.0754 9.5567 Zr
0.0000 3.6521 0.9498 Cr
0.0000 2.1608 10.2942 Cr
0.0000 0.7457 4.6722 Cr
0.0000 5.0672 6.5718 Cr
1.6677 4.5791 2.0939 B
1.6677 1.2338 9.1501 B
1.6677 1.6726 3.5281 B
1.6677 4.1403 7.7159 B
1.6677 5.0369 0.3674 B
1.6677 0.7760 10.8766 B
1.6677 2.1304 5.2546 B
1.6677 3.6825 5.9894 B
1.6677 5.1456 5.0894 B
1.6677 0.6673 6.1546 B
1.6677 2.2392 0.5326 B
1.6677 3.5737 10.7114 B
1.6677 5.6731 3.4438 B
1.6677 0.1398 7.8002 B
1.6677 2.7667 2.1782 B
1.6677 3.0462 9.0658 B

---

YReHg (PBE, relaxed); energy of formation from the pure elements = 1.3 eV per formula unit; calculated density = 12626 kg/m³; energy relative to the lowest polymorph listed for this composition = 0.007 eV/atom; space-group type = P-6m2
1.0
4.9431 0.0000 0.0000
-2.4715 4.2808 0.0000
0.0000 0.0000 2.9566
Hg Re Y
1 1 1
Cartesian
0.0000 0.0000 0.4925 Hg
2.4715 1.4269 0.4933 Re
0.0000 2.8539 1.9709 Y

---

Nd2Ho2Tm (PBE, relaxed); energy of formation from the pure elements = 0.7 eV per formula unit; calculated density = 7949 kg/m³; energy relative to the lowest polymorph listed for this composition = 0.118 eV/atom; space-group type = Imma
1.0
-1.8432 -1.8244 -5.0863
-3.1533 -1.0209 1.5089
-3.5468 15.7417 -1.1567
Nd Ho Tm
4 4 2
Cartesian
-6.0406 4.8455 -2.7533 Nd
-2.5028 8.0509 -1.9808 Nd
-3.7043 10.8970 -2.5662 Nd
-4.8391 1.9995 -2.1679 Nd
-2.2055 0.0063 -2.4074 Ho
-5.5258 12.1164 -5.5479 Ho
-6.3379 12.8901 -2.3267 Ho
-3.0175 0.7800 0.8137 Ho
-5.7112 8.3103 -4.1155 Tm
-2.8322 4.5861 -0.6186 Tm

---

> calculated density of number 1 (Pr2Sm9Y)?

7010 kg/m³